Record 1
# Zn2CuPd6 | Alexandria | PBE | optimized geometry
data_Zn2CuPd6
_cell_length_a 8.0160
_cell_length_b 8.0160
_cell_length_c 4.1179
_cell_angle_alpha 90.00
_cell_angle_beta 90.00
_cell_angle_gamma 90.00
_space_group_name_H-M_alt 'P 42/m n m'
_space_group_IT_number 136
_space_group_name_Hall '-P 4n 2n'
loop_
_atom_site_label
_atom_site_fract_x
_atom_site_fract_y
_atom_site_fract_z
_atom_site_occupancy
Zn1 0.1921 0.1921 0.0000 1
Cu1 0.0000 0.0000 0.5000 1
Pd1 0.0216 0.3264 0.5000 1
Pd2 0.1354 0.8646 0.0000 1
# Relative energy among the computed polymorphs (meV/atom): 0
# Density of states at the Fermi level (states/eV/cell): 4.5

=====

Record 2
# Li2TlP | Alexandria | PBE | optimized geometry
data_Li2TlP
_cell_length_a 5.8977
_cell_length_b 5.8755
_cell_length_c 4.0634
_cell_angle_alpha 90.00
_cell_angle_beta 90.16
_cell_angle_gamma 90.00
_space_group_name_H-M_alt 'C 1 2/m 1'
_space_group_IT_number 12
loop_
_space_group_symop_operation_xyz
'x,y,z'
'-x,-y,-z'
'-x,y,-z'
'x,-y,z'
'x+1/2,y+1/2,z'
'-x+1/2,-y+1/2,-z'
'-x+1/2,y+1/2,-z'
'x+1/2,-y+1/2,z'
loop_
_atom_site_label
_atom_site_fract_x
_atom_site_fract_y
_atom_site_fract_z
_atom_site_occupancy
Li1 0.2500 0.2500 0.0000 1
Tl1 0.0000 0.0000 0.5000 1
P1 0.0000 0.5000 0.5000 1
# Relative energy among the computed polymorphs (meV/atom): 93
# Density of states at the Fermi level (states/eV/cell): 2.8

=====

Record 3
# YSe3O | Alexandria | PBE | optimized geometry
data_YSe3O
_cell_length_a 5.4785
_cell_length_b 5.4785
_cell_length_c 5.4785
_cell_angle_alpha 90.00
_cell_angle_beta 90.00
_cell_angle_gamma 90.00
_space_group_name_H-M_alt 'P m -3 m'
_space_group_IT_number 221
_space_group_name_Hall '-P 4 2 3'
loop_
_atom_site_label
_atom_site_fract_x
_atom_site_fract_y
_atom_site_fract_z
_atom_site_occupancy
Y1 0.0000 0.0000 0.0000 1
Se1 0.0000 0.0000 0.5000 1
O1 0.5000 0.5000 0.5000 1
# Relative energy among the computed polymorphs (meV/atom): 1018
# Formation energy (no corrections) (eV per formula unit): 2.2
# Density of states at the Fermi level (states/eV/cell): 14.2

=====

Repeat the third record exactly.
# YSe3O | Alexandria | PBE | optimized geometry
data_YSe3O
_cell_length_a 5.4785
_cell_length_b 5.4785
_cell_length_c 5.4785
_cell_angle_alpha 90.00
_cell_angle_beta 90.00
_cell_angle_gamma 90.00
_space_group_name_H-M_alt 'P m -3 m'
_space_group_IT_number 221
_space_group_name_Hall '-P 4 2 3'
loop_
_atom_site_label
_atom_site_fract_x
_atom_site_fract_y
_atom_site_fract_z
_atom_site_occupancy
Y1 0.0000 0.0000 0.0000 1
Se1 0.0000 0.0000 0.5000 1
O1 0.5000 0.5000 0.5000 1
# Relative energy among the computed polymorphs (meV/atom): 1018
# Formation energy (no corrections) (eV per formula unit): 2.2
# Density of states at the Fermi level (states/eV/cell): 14.2

=====

> Which value of density of states at the Fermi level does entry 3 give?

14.2 states/eV/cell

=====

> Among the records above, which one has the highest density of states at the Fermi level?

YSe3O

=====

> Number 2 is which compound?

Li2TlP